Crystalline MgCrInS4 at its relaxed geometry, computed with PBE-GGA.

**Formation energy without anion corrections**: -80.89 kJ per mole of atoms

The structure in CIF format:
```
data_MgCrInS4
_chemical_formula_sum 'Mg4 Cr4 In4 S16'
_cell_length_a 7.364
_cell_length_b 7.469
_cell_length_c 10.658
_cell_angle_alpha 90.00
_cell_angle_beta 90.00
_cell_angle_gamma 90.00
_symmetry_space_group_name_H-M 'I m m a'
_symmetry_Int_Tables_number 74
_symmetry_space_group_name_Hall '-I 2b 2'
loop_
_atom_site_label
_atom_site_fract_x
_atom_site_fract_y
_atom_site_fract_z
Mg1 0.000 0.250 0.124
Cr1 0.250 0.250 0.750
In1 0.000 0.000 0.500
S1 0.000 0.031 0.748
S2 0.244 0.250 0.522
```